A plane-wave DFT calculation with PBE-GGA was carried out for Ta2AlMo after structural relaxation. Values from VASP.

Calculated density: 11.8 g/cm³
Formation enthalpy at 0 K: 6 meV per atom
Total magnetic moment: 0.00 μB/f.u.

The structure in Quantum ESPRESSO input format:
```
&SYSTEM
  ibrav = 0, nat = 4, ntyp = 3
/
ATOMIC_SPECIES
Ta 180.95 Ta.upf
Al 26.98 Al.upf
Mo 95.94 Mo.upf
CELL_PARAMETERS angstrom
2.766 0.000 0.000
0.000 2.766 0.000
0.000 0.000 8.917
ATOMIC_POSITIONS angstrom
Ta 0.000 0.000 2.126
Ta 0.000 0.000 6.791
Al 1.383 1.383 0.000
Mo 1.383 1.383 4.459
```